Record 1
# Mn2CoCl

Mn2CoCl after structural relaxation (PBE, the Alexandria database).

* space group: No. 216
* excess energy over the best structure of this formula in the dataset: 2.58 eV/f.u.
* density of states at the Fermi level: 0.566 states/eV per atom
* magnetic moment: 0.39 μB/f.u.
* energy relative to the elements, uncorrected: 2.65 eV per formula unit

Cell: 4.2757 4.2757 4.2757 Å, 60.00 60.00 60.00°
With the nearest neighbours (Å) after each atom.
Fractional positions:
Mn (0.0000, 0.0000, 0.0000)  4 Co 2.62, 4 Mn 2.62
Mn (0.2500, 0.2500, 0.2500)  4 Mn 2.62, 4 Cl 2.62
Co (0.7500, 0.7500, 0.7500)  4 Mn 2.62, 4 Cl 2.62
Cl (0.5000, 0.5000, 0.5000)  4 Mn 2.62, 4 Co 2.62

Record 2
# NbHgPCl2

NbHgPCl2 after structural relaxation (PBE, the Alexandria database).

* space group: No. 123
* excess energy over the best structure of this formula in the dataset: 0.00 eV/f.u.
* density of states at the Fermi level: 0.594 states/eV per atom
* magnetic moment: 0.00 μB/f.u.
* energy relative to the elements, uncorrected: -1.51 eV per formula unit

Cell: 4.9168 4.9168 4.9750 Å, 90.00 90.00 90.00°
With the nearest neighbours (Å) after each atom.
Fractional positions:
Hg (0.5000, 0.5000, 0.5000)  4 P 3.48, 8 Cl 3.50
Cl (0.5000, 0.0000, 0.0000)  2 Nb 2.46
Cl (0.0000, 0.5000, 0.0000)  2 Nb 2.46
Nb (0.0000, 0.0000, 0.0000)  4 Cl 2.46, 2 P 2.49
P (0.0000, 0.0000, 0.5000)  2 Nb 2.49

Record 3
# NaLiAg2

NaLiAg2 after structural relaxation (PBE, the Alexandria database).

* space group: No. 63
* density of states at the Fermi level: 0.290 states/eV per atom
* magnetic moment: 0.00 μB/f.u.
* ΔE_f: -0.0608 eV per atom

Cell: 5.3894 5.3893 7.5311 Å, 90.00 90.00 133.46°
With the nearest neighbours (Å) after each atom.
Fractional positions:
Na (0.5639, 0.9359, 0.7500)  3 Li 2.86-2.99
Na (0.4361, 0.0641, 0.2500)  3 Li 2.86-2.99
Li (0.7247, 0.7753, 0.2500)  6 Ag 2.67-2.71, 3 Na 2.86-2.99
Li (0.2753, 0.2247, 0.7500)  6 Ag 2.67-2.71, 3 Na 2.86-2.99
Ag (0.1405, 0.3595, 0.4425)  3 Li 2.67-2.71, 2 Ag 2.90-2.91
Ag (0.1405, 0.3595, 0.0575)  3 Li 2.67-2.71, 2 Ag 2.90-2.91
Ag (0.8595, 0.6405, 0.9425)  3 Li 2.67-2.71, 2 Ag 2.90-2.91
Ag (0.8595, 0.6405, 0.5575)  3 Li 2.67-2.71, 2 Ag 2.90-2.91